[1]
VASP calculation (PBE) on crystalline CsAsAu2Se4 at its relaxed geometry.

Formation energy without anion corrections (eV/atom): -0.353
VASP energy (eV per atom): -3.602

The structure in CIF format:
```
data_CsAsAu2Se4
_symmetry_space_group_name_H-M 'I 2 2 2'
_symmetry_Int_Tables_number 23
_cell_length_a 6.604
_cell_length_b 8.698
_cell_length_c 9.503
_cell_angle_alpha 90.00
_cell_angle_beta 90.00
_cell_angle_gamma 90.00
loop_
_symmetry_equiv_pos_as_xyz
'x,y,z'
'-x,-y,z'
'x,-y,-z'
'-x,y,-z'
'x+1/2,y+1/2,z+1/2'
'-x+1/2,-y+1/2,z+1/2'
'x+1/2,-y+1/2,-z+1/2'
'-x+1/2,y+1/2,-z+1/2'
loop_
_atom_site_label
_atom_site_fract_x
_atom_site_fract_y
_atom_site_fract_z
Cs1 0.000 0.000 0.000
As1 0.000 0.000 0.500
Au1 0.000 0.500 0.160
Se1 0.198 0.163 0.350
```

[2]
VASP calculation (PBE) on crystalline CoHgAu at its relaxed geometry.

VASP energy (eV per atom): -3.188
DFT formation energy (eV per atom): 0.37

The structure in CIF format:
```
data_CoHgAu
_symmetry_space_group_name_H-M 'P 3 m 1'
_symmetry_Int_Tables_number 156
_cell_length_a 2.9699
_cell_length_b 2.9699
_cell_length_c 6.7817
_cell_angle_alpha 90.00
_cell_angle_beta 90.00
_cell_angle_gamma 120.00
loop_
_symmetry_equiv_pos_as_xyz
'x,y,z'
'-y,x-y,z'
'-x+y,-x,z'
'-y,-x,z'
'-x+y,y,z'
'x,x-y,z'
loop_
_atom_site_label
_atom_site_fract_x
_atom_site_fract_y
_atom_site_fract_z
Co1 0.0000 0.0000 0.0000
Hg1 0.6667 0.3333 0.3211
Au1 0.3333 0.6667 0.6990
```

[3]
VASP calculation (PBE) on crystalline Dy2HoEr6Sc at its relaxed geometry.

VASP energy (eV per atom): -4.623
DFT formation energy (eV per atom): 0.13

The structure in CIF format:
```
data_Dy2HoEr6Sc
_symmetry_space_group_name_H-M 'C 1 2/c 1'
_symmetry_Int_Tables_number 15
_cell_length_a 8.931
_cell_length_b 14.701
_cell_length_c 9.373
_cell_angle_alpha 90.00
_cell_angle_beta 97.78
_cell_angle_gamma 90.00
loop_
_symmetry_equiv_pos_as_xyz
'x,y,z'
'-x,-y,-z'
'-x,y,-z+1/2'
'x,-y,z+1/2'
'x+1/2,y+1/2,z'
'-x+1/2,-y+1/2,-z'
'-x+1/2,y+1/2,-z+1/2'
'x+1/2,-y+1/2,z+1/2'
loop_
_atom_site_label
_atom_site_fract_x
_atom_site_fract_y
_atom_site_fract_z
Dy1 0.249 0.052 0.454
Ho1 0.000 0.478 0.250
Er1 0.061 0.312 0.944
Er2 0.102 0.106 0.117
Er3 0.211 0.279 0.311
Sc1 0.000 0.088 0.750
```

[4]
VASP calculation (PBE) on crystalline Hf3ScRe at its relaxed geometry.

VASP energy (eV per atom): -9.233
DFT formation energy (eV per atom): 0.50

The structure in CIF format:
```
data_Hf3ScRe
_symmetry_space_group_name_H-M 'P m -3 m'
_symmetry_Int_Tables_number 221
_symmetry_space_group_name_Hall '-P 4 2 3'
_cell_length_a 5.047
_cell_length_b 5.047
_cell_length_c 5.047
_cell_angle_alpha 90.00
_cell_angle_beta 90.00
_cell_angle_gamma 90.00
loop_
_atom_site_label
_atom_site_fract_x
_atom_site_fract_y
_atom_site_fract_z
Hf1 0.000 0.000 0.500
Sc1 0.500 0.500 0.500
Re1 0.000 0.000 0.000
```